# 1
Material: Hf2TlMo
Method: DFT, PBE-GGA
State: relaxed

Calculated values
calculated volume: 21.46 Å³ per atom
calculated formation energy: 92.7 meV/atom

The structure in CIF format:
```
data_Hf2TlMo
_symmetry_space_group_name_H-M 'R -3 m'
_symmetry_Int_Tables_number 166
_symmetry_space_group_name_Hall '-R 3 2"'
_cell_length_a 3.2814
_cell_length_b 3.2814
_cell_length_c 27.6159
_cell_angle_alpha 90.00
_cell_angle_beta 90.00
_cell_angle_gamma 120.00
loop_
_atom_site_label
_atom_site_fract_x
_atom_site_fract_y
_atom_site_fract_z
Hf1 0.0000 0.0000 0.2397
Tl1 0.0000 0.0000 0.0000
Mo1 0.0000 0.0000 0.5000
```



# 2
Material: ZnCu2Se
Method: DFT, PBE-GGA
State: relaxed

Calculated values
calculated volume: 14.88 Å³ per atom
raw formation energy: 0.1696 eV per atom

The structure in CIF format:
```
data_ZnCu2Se
_symmetry_space_group_name_H-M 'C 1 2/m 1'
_symmetry_Int_Tables_number 12
_cell_length_a 5.621
_cell_length_b 7.771
_cell_length_c 2.724
_cell_angle_alpha 90.00
_cell_angle_beta 90.48
_cell_angle_gamma 90.00
loop_
_symmetry_equiv_pos_as_xyz
'x,y,z'
'-x,-y,-z'
'-x,y,-z'
'x,-y,z'
'x+1/2,y+1/2,z'
'-x+1/2,-y+1/2,-z'
'-x+1/2,y+1/2,-z'
'x+1/2,-y+1/2,z'
loop_
_atom_site_label
_atom_site_fract_x
_atom_site_fract_y
_atom_site_fract_z
Zn1 0.000 0.000 0.000
Cu1 0.250 0.250 0.500
Se1 0.000 0.500 0.000
```



# 3
Material: ZnCr2
Method: DFT, PBE-GGA
State: relaxed

Calculated values
calculated volume: 12.22 Å³ per atom
calculated formation energy: 145.1 meV/atom

The structure in CIF format:
```
data_ZnCr2
_symmetry_space_group_name_H-M 'P -3 m 1'
_symmetry_Int_Tables_number 164
_symmetry_space_group_name_Hall '-P 3 2"'
_cell_length_a 4.1411
_cell_length_b 4.1411
_cell_length_c 2.4681
_cell_angle_alpha 90.00
_cell_angle_beta 90.00
_cell_angle_gamma 120.00
loop_
_atom_site_label
_atom_site_fract_x
_atom_site_fract_y
_atom_site_fract_z
Zn1 0.0000 0.0000 0.0000
Cr1 0.3333 0.6667 0.3792
```



# 4
Material: MgMn2Si
Method: DFT, PBE-GGA
State: relaxed

Calculated values
calculated volume: 15.09 Å³ per atom
raw formation energy: 0.4481 eV per atom

The structure in CIF format:
```
data_MgMn2Si
_symmetry_space_group_name_H-M 'I -4 2 d'
_symmetry_Int_Tables_number 122
_symmetry_space_group_name_Hall 'I -4 2bw'
_cell_length_a 3.753
_cell_length_b 3.753
_cell_length_c 17.142
_cell_angle_alpha 90.00
_cell_angle_beta 90.00
_cell_angle_gamma 90.00
loop_
_atom_site_label
_atom_site_fract_x
_atom_site_fract_y
_atom_site_fract_z
Mg1 0.000 0.000 0.000
Mn1 0.140 0.250 0.625
Si1 0.000 0.000 0.500
```